Density functional theory data (PBE) for crystalline YScInPd2 at its relaxed geometry.

SG: P4/mmm
energy: -23.73 eV for the cell shown
D(E_F): 1.59 states/eV/atom

abc: 4.9904 5.4580 4.9904
angles: 90.00 90.00 90.00
Site moments in Bohr magnetons follow the coordinates.
Sites, in units of the cell vectors:
Y: 0.0000 0.5000 0.0000  0.22
Sc: 0.5000 0.5000 0.5000  0.37
Pd: 0.0000 0.0000 0.5000  0.02
Pd: 0.5000 0.0000 0.0000  0.01
In: 0.0000 0.0000 0.0000  0.03